# AlIrRu

AlIrRu after structural relaxation (PBE-GGA, Alexandria).

```
data_AlIrRu
_space_group_name_H-M_alt 'P 1'
_space_group_IT_number 1
_cell_length_a 2.7720
_cell_length_b 2.7720
_cell_length_c 11.0343
_cell_angle_alpha 90.00
_cell_angle_beta 90.00
_cell_angle_gamma 90.00
loop_
_space_group_symop_operation_xyz
'x,y,z'
loop_
_atom_site_label
_atom_site_fract_x
_atom_site_fract_y
_atom_site_fract_z
Al1 0.0000 0.0000 0.0000
Al2 0.5000 0.5000 0.5000
Ir1 0.0000 0.0000 0.3331
Ir2 0.5000 0.5000 0.8331
Ru1 0.0000 0.0000 0.6668
Ru2 0.5000 0.5000 0.1668
```

Values from the calculation:
Formation energy from the elements (eV per atom): -0.38
Calculated density (g/cm3): 12.54